#w
# Cd2Ga2Si GGA-PBE optimized geometry
data_Cd2Ga2Si
_cell_length_a 7.917
_cell_length_b 7.917
_cell_length_c 3.365
_cell_angle_alpha 90.00
_cell_angle_beta 90.00
_cell_angle_gamma 90.00
_space_group_name_H-M_alt 'P 4/m b m'
_space_group_IT_number 127
_space_group_name_Hall '-P 4 2ab'
loop_
_atom_site_label
_atom_site_type_symbol
_atom_site_fract_x
_atom_site_fract_y
_atom_site_fract_z
Cd1 Cd 0.133 0.367 0.000
Ga1 Ga 0.173 0.673 0.500
Si1 Si 0.000 0.000 0.500
# Density of states at the Fermi level (states/eV/f.u.): 2.038
# Magnetization (μB per atom): 0.00

---

#x
# Cd2Ga2Si GGA-PBE optimized geometry
data_Cd2Ga2Si
_cell_length_a 8.357
_cell_length_b 8.357
_cell_length_c 3.008
_cell_angle_alpha 90.00
_cell_angle_beta 90.00
_cell_angle_gamma 90.00
_space_group_name_H-M_alt 'P 4/m b m'
_space_group_IT_number 127
_space_group_name_Hall '-P 4 2ab'
loop_
_atom_site_label
_atom_site_type_symbol
_atom_site_fract_x
_atom_site_fract_y
_atom_site_fract_z
Cd1 Cd 0.185 0.315 0.000
Ga1 Ga 0.116 0.616 0.500
Si1 Si 0.000 0.000 0.000
# Density of states at the Fermi level (states/eV/f.u.): 1.916
# Magnetization (μB per atom): 0.00

---

Which one sits at the top of the stability order? #x does.

---

#w
# CdGa3Si GGA-PBE optimized geometry
data_CdGa3Si
_cell_length_a 5.103
_cell_length_b 5.103
_cell_length_c 5.103
_cell_angle_alpha 90.00
_cell_angle_beta 90.00
_cell_angle_gamma 90.00
_space_group_name_H-M_alt 'P m -3 m'
_space_group_IT_number 221
_space_group_name_Hall '-P 4 2 3'
loop_
_atom_site_label
_atom_site_type_symbol
_atom_site_fract_x
_atom_site_fract_y
_atom_site_fract_z
Cd1 Cd 0.000 0.000 0.000
Ga1 Ga 0.000 0.000 0.500
Si1 Si 0.500 0.500 0.500
# Density of states at the Fermi level (states/eV/f.u.): 7.599
# Magnetization (μB per atom): 0.00

---

#x
# CdGa3Si GGA-PBE optimized geometry
data_CdGa3Si
_cell_length_a 4.875
_cell_length_b 4.875
_cell_length_c 4.875
_cell_angle_alpha 90.00
_cell_angle_beta 90.00
_cell_angle_gamma 90.00
_space_group_name_H-M_alt 'P m -3 m'
_space_group_IT_number 221
_space_group_name_Hall '-P 4 2 3'
loop_
_atom_site_label
_atom_site_type_symbol
_atom_site_fract_x
_atom_site_fract_y
_atom_site_fract_z
Cd1 Cd 0.000 0.000 0.000
Ga1 Ga 0.000 0.500 0.500
Si1 Si 0.500 0.500 0.500
# Density of states at the Fermi level (states/eV/f.u.): 3.894
# Magnetization (μB per atom): 0.00

---

Which one sits at the top of the stability order? #x does.

---

#w
# Sm3Cd2Ga GGA-PBE optimized geometry
data_Sm3Cd2Ga
_cell_length_a 3.713
_cell_length_b 3.713
_cell_length_c 11.546
_cell_angle_alpha 90.00
_cell_angle_beta 90.00
_cell_angle_gamma 90.00
_space_group_name_H-M_alt 'P 4/m m m'
_space_group_IT_number 123
_space_group_name_Hall '-P 4 2'
loop_
_atom_site_label
_atom_site_type_symbol
_atom_site_fract_x
_atom_site_fract_y
_atom_site_fract_z
Sm1 Sm 0.000 0.000 0.000
Sm2 Sm 0.000 0.000 0.347
Cd1 Cd 0.500 0.500 0.171
Ga1 Ga 0.500 0.500 0.500
# Density of states at the Fermi level (states/eV/f.u.): 6.177
# Magnetization (μB per atom): 0.07

---

#x
# Sm3Cd2Ga GGA-PBE optimized geometry
data_Sm3Cd2Ga
_cell_length_a 5.3196
_cell_length_b 5.3196
_cell_length_c 6.5224
_cell_angle_alpha 90.00
_cell_angle_beta 90.00
_cell_angle_gamma 120.00
_space_group_name_H-M_alt 'P -3 m 1'
_space_group_IT_number 164
_space_group_name_Hall '-P 3 2"'
loop_
_atom_site_label
_atom_site_type_symbol
_atom_site_fract_x
_atom_site_fract_y
_atom_site_fract_z
Sm1 Sm 0.0000 0.0000 0.0000
Sm2 Sm 0.3333 0.6667 0.6526
Cd1 Cd 0.3333 0.6667 0.1501
Ga1 Ga 0.0000 0.0000 0.5000
# Density of states at the Fermi level (states/eV/f.u.): 9.183
# Magnetization (μB per atom): 0.00

---

Which one sits at the top of the stability order? #w does.

---

#w
# Sm4CdGa2 GGA-PBE optimized geometry
data_Sm4CdGa2
_cell_length_a 5.1619
_cell_length_b 5.1619
_cell_length_c 26.6606
_cell_angle_alpha 90.00
_cell_angle_beta 90.00
_cell_angle_gamma 120.00
_space_group_name_H-M_alt 'R -3 m'
_space_group_IT_number 166
_space_group_name_Hall '-R 3 2"'
loop_
_atom_site_label
_atom_site_type_symbol
_atom_site_fract_x
_atom_site_fract_y
_atom_site_fract_z
Sm1 Sm 0.0000 0.0000 0.1195
Sm2 Sm 0.0000 0.0000 0.2907
Cd1 Cd 0.0000 0.0000 0.5000
Ga1 Ga 0.0000 0.0000 0.4018
# Density of states at the Fermi level (states/eV/f.u.): 8.693
# Magnetization (μB per atom): 0.00

---

#x
# Sm4CdGa2 GGA-PBE optimized geometry
data_Sm4CdGa2
_cell_length_a 5.1822
_cell_length_b 5.1822
_cell_length_c 24.8712
_cell_angle_alpha 90.00
_cell_angle_beta 90.00
_cell_angle_gamma 120.00
_space_group_name_H-M_alt 'R -3 m'
_space_group_IT_number 166
_space_group_name_Hall '-R 3 2"'
loop_
_atom_site_label
_atom_site_type_symbol
_atom_site_fract_x
_atom_site_fract_y
_atom_site_fract_z
Sm1 Sm 0.0000 0.0000 0.1162
Sm2 Sm 0.0000 0.0000 0.3688
Cd1 Cd 0.0000 0.0000 0.5000
Ga1 Ga 0.0000 0.0000 0.2461
# Density of states at the Fermi level (states/eV/f.u.): 6.676
# Magnetization (μB per atom): 0.00

---

Which one sits at the top of the stability order? #x does.

---

#w
# Cd4GaSn GGA-PBE optimized geometry
data_Cd4GaSn
_cell_length_a 8.360
_cell_length_b 8.360
_cell_length_c 8.360
_cell_angle_alpha 90.00
_cell_angle_beta 90.00
_cell_angle_gamma 90.00
_space_group_name_H-M_alt 'F -4 3 m'
_space_group_IT_number 216
_space_group_name_Hall 'F -4 2 3'
loop_
_atom_site_label
_atom_site_type_symbol
_atom_site_fract_x
_atom_site_fract_y
_atom_site_fract_z
Cd1 Cd 0.125 0.125 0.125
Ga1 Ga 0.250 0.250 0.750
Sn1 Sn 0.000 0.000 0.500
# Density of states at the Fermi level (states/eV/f.u.): 1.331
# Magnetization (μB per atom): 0.00

---

#x
# Cd4GaSn GGA-PBE optimized geometry
data_Cd4GaSn
_cell_length_a 5.581
_cell_length_b 5.549
_cell_length_c 9.237
_cell_angle_alpha 90.00
_cell_angle_beta 96.41
_cell_angle_gamma 90.00
_space_group_name_H-M_alt 'C 1 2/m 1'
_space_group_IT_number 12
loop_
_space_group_symop_operation_xyz
'x,y,z'
'-x,-y,-z'
'-x,y,-z'
'x,-y,z'
'x+1/2,y+1/2,z'
'-x+1/2,-y+1/2,-z'
'-x+1/2,y+1/2,-z'
'x+1/2,-y+1/2,z'
loop_
_atom_site_label
_atom_site_type_symbol
_atom_site_fract_x
_atom_site_fract_y
_atom_site_fract_z
Cd1 Cd 0.010 0.000 0.178
Cd2 Cd 0.010 0.500 0.343
Ga1 Ga 0.000 0.000 0.500
Sn1 Sn 0.000 0.500 0.000
# Density of states at the Fermi level (states/eV/f.u.): 2.311
# Magnetization (μB per atom): 0.00

---

Which one sits at the top of the stability order? #x does.

---

#w
# CdGa2Sn2 GGA-PBE optimized geometry
data_CdGa2Sn2
_cell_length_a 8.502
_cell_length_b 8.502
_cell_length_c 3.368
_cell_angle_alpha 90.00
_cell_angle_beta 90.00
_cell_angle_gamma 90.00
_space_group_name_H-M_alt 'P 4/m b m'
_space_group_IT_number 127
_space_group_name_Hall '-P 4 2ab'
loop_
_atom_site_label
_atom_site_type_symbol
_atom_site_fract_x
_atom_site_fract_y
_atom_site_fract_z
Cd1 Cd 0.000 0.000 0.000
Ga1 Ga 0.142 0.358 0.500
Sn1 Sn 0.155 0.655 0.000
# Density of states at the Fermi level (states/eV/f.u.): 2.722
# Magnetization (μB per atom): 0.00

---

#x
# CdGa2Sn2 GGA-PBE optimized geometry
data_CdGa2Sn2
_cell_length_a 4.870
_cell_length_b 4.870
_cell_length_c 10.920
_cell_angle_alpha 90.00
_cell_angle_beta 90.00
_cell_angle_gamma 90.00
_space_group_name_H-M_alt 'I 4/m m m'
_space_group_IT_number 139
_space_group_name_Hall '-I 4 2'
loop_
_atom_site_label
_atom_site_type_symbol
_atom_site_fract_x
_atom_site_fract_y
_atom_site_fract_z
Cd1 Cd 0.000 0.000 0.000
Ga1 Ga 0.000 0.000 0.388
Sn1 Sn 0.000 0.500 0.250
# Density of states at the Fermi level (states/eV/f.u.): 3.158
# Magnetization (μB per atom): 0.00

---

Which one sits at the top of the stability order? #w does.